[1]
Material: Pm2MgGa4Ir3
Method: DFT, GGA-PBE
State: optimized geometry

Lattice parameters (Å, degrees): 4.116 4.116 11.363 90.00 90.00 90.00
Element x y z (fractional)
Mg 0.500 0.500 0.500
Pm 0.500 0.000 0.235
Pm 0.000 0.500 0.765
Ir 0.000 0.000 0.500
Ir 0.500 0.000 0.866
Ir 0.000 0.500 0.134
Ga 0.000 0.500 0.356
Ga 0.500 0.000 0.644
Ga 0.500 0.500 0.000
Ga 0.000 0.000 0.000

E	-5.61	eV/atom
mass density	10.09	g/cm³
formation energy from the elements	-0.633	eV per atom
crystal system	tetragonal
space-group type	P-4m2, No. 115

[2]
Material: Pr2MgGa3Ir4
Method: DFT, GGA-PBE
State: optimized geometry

Lattice parameters (Å, degrees): 4.247 4.247 10.710 90.00 90.00 90.00
Element x y z (fractional)
Ir 0.500 0.000 0.643
Ir 0.000 0.500 0.357
Ir 0.000 0.000 0.000
Ir 0.500 0.500 0.000
Pr 0.500 0.000 0.238
Pr 0.000 0.500 0.762
Ga 0.500 0.000 0.877
Ga 0.000 0.500 0.123
Ga 0.000 0.000 0.500
Mg 0.500 0.500 0.500

E	-6.22	eV/atom
mass density	11.04	g/cm³
formation energy from the elements	-0.654	eV per atom
crystal system	tetragonal
space-group type	P-4m2, No. 115

[3]
Material: PrMgGa2Ir2
Method: DFT, GGA-PBE
State: optimized geometry

Lattice parameters (Å, degrees): 4.386 4.386 6.862 90.00 90.00 120.00
Element x y z (fractional)
Pr 0.000 0.000 0.000
Ir 0.333 0.667 0.700
Ir 0.667 0.333 0.300
Mg 0.000 0.000 0.500
Ga 0.333 0.667 0.305
Ga 0.667 0.333 0.695

E	-5.66	eV/atom
mass density	10.01	g/cm³
formation energy from the elements	-0.630	eV per atom
crystal system	trigonal
space-group type	P-3m1, No. 164

[4]
Material: Pr2MgGa4Ir3
Method: DFT, GGA-PBE
State: optimized geometry

Lattice parameters (Å, degrees): 4.191 4.191 11.188 90.00 90.00 90.00
Element x y z (fractional)
Ir 0.000 0.000 0.500
Ir 0.000 0.500 0.131
Ir 0.500 0.000 0.869
Ga 0.500 0.000 0.643
Ga 0.000 0.000 0.000
Ga 0.500 0.500 0.000
Ga 0.000 0.500 0.357
Pr 0.000 0.500 0.764
Pr 0.500 0.000 0.236
Mg 0.500 0.500 0.500

E	-5.60	eV/atom
mass density	9.82	g/cm³
formation energy from the elements	-0.614	eV per atom
crystal system	tetragonal
space-group type	P-4m2, No. 115